Below is a relaxed structure of HfNiF3, with properties calculated at the PBE with a Hubbard U level.

Calculated values
Size of the total moment (μB/f.u.): 0.00
Distance to the lowest polymorph of the same formula (meV/atom): 0.0

Unit cell a=4.1586 b=4.1586 c=4.1586 alpha=90.00 beta=90.00 gamma=90.00
Closest atoms and distances in Å follow each position.
Fractional positions:
F1 0.5000 0.0000 0.0000  2 Hf 2.08
Hf1 0.0000 0.0000 0.0000  6 F 2.08
F2 0.0000 0.0000 0.5000  2 Hf 2.08
F3 0.0000 0.5000 0.0000  2 Hf 2.08
Ni1 0.5000 0.5000 0.5000  12 F 2.94